# 1
Rb2BaBr GGA-PBE relaxed; energy relative to the elements, uncorrected = -0.631 eV/atom; space group = No. 122; polymorph energy (0 for the lowest one) = 87.5 meV/atom
1.0
-6.3770 6.3770 3.2712
6.3770 -6.3770 3.2712
6.3770 6.3770 -3.2712
Rb Ba Br
4 2 2
Direct
0.0100 0.1250 0.3850
0.3750 0.9900 0.1150
0.7400 0.6250 0.6150
0.8750 0.2600 0.8850
0.2500 0.7500 0.5000
0.5000 0.5000 0.0000
0.0000 0.0000 0.0000
0.7500 0.2500 0.5000

---

# 2
Y6BiAs3Se2 GGA-PBE relaxed; energy relative to the elements, uncorrected = -1.545 eV/atom; space group = No. 12
1.0
9.1164 -2.0840 0.0000
9.1164 2.0840 0.0000
-1.9944 0.0000 8.1448
Y Bi As Se
6 1 3 2
Direct
0.0017 0.0017 0.2335
0.3266 0.3266 0.4218
0.3356 0.3356 0.9095
0.6644 0.6644 0.0905
0.6734 0.6734 0.5782
0.9983 0.9983 0.7665
0.5000 0.5000 0.5000
0.1659 0.1659 0.3311
0.5000 0.5000 0.0000
0.8341 0.8341 0.6689
0.1687 0.1687 0.8364
0.8313 0.8313 0.1636

---

# 3
SrNi5As2 GGA-PBE relaxed; space group = No. 71; DFT formation energy = -0.36 eV per atom
1.0
-1.9152 3.3551 4.6678
1.9152 -3.3551 4.6678
1.9152 3.3551 -4.6678
Sr Ni As
1 5 2
Direct
0.0000 0.0000 0.0000
0.1682 0.3515 0.8167
0.4652 0.6485 0.8167
0.5000 0.0000 0.5000
0.5348 0.3515 0.1833
0.8318 0.6485 0.1833
0.2552 0.7552 0.5000
0.7448 0.2448 0.5000

---

# 4
Sr6Li2In GGA-PBE relaxed; space group = No. 69; DFT formation energy = -0.10 eV per atom
1.0
0.0000 7.2573 8.8461
2.9357 0.0000 8.8461
2.9357 7.2573 0.0000
Sr Li In
6 2 1
Direct
0.1379 0.8621 0.1379
0.1953 0.4783 0.5217
0.4783 0.1953 0.8047
0.5217 0.8047 0.1953
0.8047 0.5217 0.4783
0.8621 0.1379 0.8621
0.1659 0.1659 0.8341
0.8341 0.8341 0.1659
0.5000 0.5000 0.5000

---

Copy entry 2 word for word.
Y6BiAs3Se2 GGA-PBE relaxed; energy relative to the elements, uncorrected = -1.545 eV/atom; space group = No. 12
1.0
9.1164 -2.0840 0.0000
9.1164 2.0840 0.0000
-1.9944 0.0000 8.1448
Y Bi As Se
6 1 3 2
Direct
0.0017 0.0017 0.2335
0.3266 0.3266 0.4218
0.3356 0.3356 0.9095
0.6644 0.6644 0.0905
0.6734 0.6734 0.5782
0.9983 0.9983 0.7665
0.5000 0.5000 0.5000
0.1659 0.1659 0.3311
0.5000 0.5000 0.0000
0.8341 0.8341 0.6689
0.1687 0.1687 0.8364
0.8313 0.8313 0.1636